(1)
This record from Alexandria describes crystalline CeDyAu at its relaxed geometry. The functional is PBE-GGA.

```
CeDyAu
1.0
-1.5505 -2.9339 0.6506
-0.1712 -0.6447 -3.3152
7.9640 -1.8873 1.6804
Dy Au Ce
1 1 1
Direct
0.4860 0.4860 0.9721
0.0892 0.0892 0.1785
0.2747 0.2747 0.5495
```

Values from the calculation:
* ΔE_f: 1.95 kcal/mol of atoms
* energy above the most stable polymorph in this dataset: 46.10 kJ per mole of atoms

***

(2)
This record from Alexandria describes crystalline RbAg2TeI at its relaxed geometry. The functional is PBE-GGA.

```
RbAg2TeI
1.0
-4.8311 -2.7494 -2.6018
2.7303 -5.9213 1.1874
-2.8171 -0.2062 5.4489
Rb Ag I Te
1 2 1 1
Direct
0.0000 0.0000 0.0000
0.0000 0.0000 0.5000
0.5000 0.0000 0.0000
0.5000 0.5000 0.5000
0.0000 0.5000 0.0000
```

Values from the calculation:
* ΔE_f (raw): 0.924 eV/atom

***

(3)
This record from Alexandria describes crystalline AcLa4Nd15 at its relaxed geometry. The functional is PBE-GGA.

```
AcLa4Nd15
1.0
5.2565 0.0000 0.0000
0.0000 5.2565 0.0000
0.0000 0.0000 26.1837
La Nd Ac
4 15 1
Direct
0.0000 0.0000 0.4006
0.0000 0.0000 0.7982
0.0000 0.0000 0.5994
0.0000 0.0000 0.2018
0.5000 0.0000 0.6987
0.5000 0.5000 0.0000
0.0000 0.5000 0.8974
0.5000 0.5000 0.7981
0.5000 0.0000 0.5000
0.5000 0.0000 0.1026
0.0000 0.5000 0.3013
0.5000 0.5000 0.4006
0.0000 0.5000 0.5000
0.5000 0.0000 0.8974
0.0000 0.5000 0.6987
0.5000 0.0000 0.3013
0.0000 0.5000 0.1026
0.5000 0.5000 0.5994
0.5000 0.5000 0.2019
0.0000 0.0000 0.0000
```

Values from the calculation:
* ΔE_f: 0.39 kcal/mol of atoms

***

no.,calculated volume (Å³/f.u.),raw total energy (eV/atom)
1,92,-4.520
2,250,-1.349
3,723,-4.750